# Li2PmAlAg4

Crystalline Li2PmAlAg4 at its relaxed geometry (PBE, Alexandria via LeMat-Bulk).

formation enthalpy at 0 K = -0.19 eV per atom
N(E_F) = 0.46 states/eV per atom
calculated volume = 19.3 Å³/atom

Lattice parameters (Å, degrees): 9.151 9.151 9.151 28.55 28.55 28.55
Element x y z (fractional)
Li: 0.236 0.236 0.236
Li: 0.764 0.764 0.764
Pm: 0.000 0.000 0.000
Al: 0.500 0.500 0.500
Ag: 0.131 0.131 0.131
Ag: 0.400 0.400 0.400
Ag: 0.600 0.600 0.600
Ag: 0.869 0.869 0.869